The following is a PBE calculation of a geometry-optimized SrHgPb3 structure, from Alexandria via LeMat-Bulk.

Cell lengths 6.222, 6.222, 6.222 Å; angles 90.00, 90.00, 90.00 degrees
Atoms (fractional coordinates):
Sr 0.000 0.000 0.000
Hg 0.500 0.500 0.500
Pb 0.000 0.000 0.500
Pb 0.000 0.500 0.000
Pb 0.500 0.000 0.000

Calculated values
SG: No. 221
Energy above the lowest structure with this stoichiometry: 85.52 kJ/mol of atoms
Uncorrected energy: -1.95 eV/atom
Total magnetization: 0.58 μB/cell
Energy of formation: 0.67 eV/atom
ρ: 6272 kg/m³



The following is a PBE calculation of a geometry-optimized Sr3Hg4Pb4 structure, from Alexandria via LeMat-Bulk.

Cell lengths 3.901, 5.047, 17.877 Å; angles 97.95, 95.77, 90.01 degrees
Atoms (fractional coordinates):
Sr 0.000 0.000 0.000
Sr 0.133 0.633 0.269
Sr 0.867 0.367 0.731
Hg 0.320 0.820 0.641
Hg 0.466 0.459 0.917
Hg 0.534 0.541 0.083
Hg 0.680 0.180 0.359
Pb 0.266 0.266 0.531
Pb 0.413 0.913 0.823
Pb 0.587 0.087 0.177
Pb 0.734 0.734 0.469

Calculated values
SG: No. 2
Uncorrected energy: -2.25 eV/atom
Total magnetization: 0.00 μB/cell
Energy of formation: -0.33 eV/atom
ρ: 9069 kg/m³



The following is a PBE calculation of a geometry-optimized Sr2HgPb structure, from Alexandria via LeMat-Bulk.

Cell lengths 11.211, 11.211, 11.211 Å; angles 150.57, 150.57, 42.11 degrees
Atoms (fractional coordinates):
Sr 0.121 0.625 0.996
Sr 0.375 0.371 0.496
Sr 0.629 0.125 0.004
Sr 0.875 0.879 0.504
Hg 0.000 0.000 0.000
Hg 0.750 0.250 0.500
Pb 0.250 0.750 0.500
Pb 0.500 0.500 0.000

Calculated values
SG: No. 122
Uncorrected energy: -1.93 eV/atom
Total magnetization: 0.00 μB/cell
Energy of formation: -0.08 eV/atom
ρ: 5704 kg/m³



The following is a PBE calculation of a geometry-optimized Sr3HgPb structure, from Alexandria via LeMat-Bulk.

Cell lengths 10.554, 10.554, 4.128 Å; angles 90.00, 90.00, 116.37 degrees
Atoms (fractional coordinates):
Sr 0.155 0.845 0.000
Sr 0.200 0.417 0.500
Sr 0.417 0.200 0.500
Sr 0.583 0.800 0.500
Sr 0.800 0.583 0.500
Sr 0.845 0.155 0.000
Hg 0.000 0.500 0.999
Hg 0.500 0.000 0.001
Pb 0.000 0.000 0.500
Pb 0.500 0.500 0.000

Calculated values
SG: No. 21
Energy above the lowest structure with this stoichiometry: 12.27 kJ/mol of atoms
Uncorrected energy: -2.17 eV/atom
Total magnetization: 0.00 μB/cell
Energy of formation: -0.36 eV/atom
ρ: 5406 kg/m³



The following is a PBE calculation of a geometry-optimized Sr3Hg2Pb structure, from Alexandria via LeMat-Bulk.

Cell lengths 9.143, 9.143, 3.990 Å; angles 90.00, 90.00, 143.33 degrees
Atoms (fractional coordinates):
Sr 0.000 0.000 0.000
Sr 0.331 0.669 0.000
Sr 0.669 0.331 0.000
Hg 0.166 0.834 0.500
Hg 0.834 0.166 0.500
Pb 0.500 0.500 0.500

Calculated values
SG: No. 65
Uncorrected energy: -2.11 eV/atom
Total magnetization: 0.00 μB/cell
Energy of formation: -0.55 eV/atom
ρ: 7263 kg/m³



The following is a PBE calculation of a geometry-optimized SrHgPb structure, from Alexandria via LeMat-Bulk.

Cell lengths 4.090, 5.179, 9.054 Å; angles 90.00, 91.07, 90.00 degrees
Atoms (fractional coordinates):
Sr 0.000 0.000 0.000
Sr 0.000 0.500 0.499
Hg 0.415 0.000 0.340
Hg 0.588 0.000 0.660
Pb 0.424 0.500 0.829
Pb 0.574 0.500 0.169

Calculated values
SG: No. 6
Uncorrected energy: -2.31 eV/atom
Total magnetization: 0.00 μB/cell
Energy of formation: -0.42 eV/atom
ρ: 8581 kg/m³



The following is a PBE calculation of a geometry-optimized Sr2Hg10Pb structure, from Alexandria via LeMat-Bulk.

Cell lengths 10.859, 13.416, 5.979 Å; angles 90.00, 90.00, 90.00 degrees
Atoms (fractional coordinates):
Sr 0.178 0.092 0.000
Sr 0.322 0.592 0.000
Sr 0.678 0.408 0.000
Sr 0.822 0.908 0.000
Hg 0.036 0.618 0.500
Hg 0.119 0.802 0.236
Hg 0.119 0.802 0.764
Hg 0.154 0.215 0.500
Hg 0.219 0.459 0.500
Hg 0.281 0.959 0.500
Hg 0.346 0.715 0.500
Hg 0.381 0.302 0.236
Hg 0.381 0.302 0.764
Hg 0.464 0.118 0.500
Hg 0.536 0.882 0.500
Hg 0.619 0.698 0.236
Hg 0.619 0.698 0.764
Hg 0.654 0.285 0.500
Hg 0.719 0.041 0.500
Hg 0.781 0.541 0.500
Hg 0.846 0.785 0.500
Hg 0.881 0.198 0.236
Hg 0.881 0.198 0.764
Hg 0.964 0.382 0.500
Pb 0.000 0.000 0.500
Pb 0.500 0.500 0.500

Calculated values
SG: No. 55
Uncorrected energy: -0.90 eV/atom
Total magnetization: 0.00 μB/cell
Energy of formation: -0.12 eV/atom
ρ: 9107 kg/m³



The following is a PBE calculation of a geometry-optimized SrHg2Pb structure, from Alexandria via LeMat-Bulk.

Cell lengths 6.554, 6.554, 3.878 Å; angles 105.88, 105.88, 116.76 degrees
Atoms (fractional coordinates):
Sr 0.000 0.000 0.000
Hg 0.000 0.500 0.500
Hg 0.500 0.000 0.500
Pb 0.500 0.500 0.000

Calculated values
SG: No. 12
Uncorrected energy: -1.74 eV/atom
Total magnetization: 0.00 μB/cell
Energy of formation: -0.24 eV/atom
ρ: 9112 kg/m³



The following is a PBE calculation of a geometry-optimized SrTbHgPb structure, from Alexandria via LeMat-Bulk.

Cell lengths 5.550, 5.550, 5.550 Å; angles 60.00, 60.00, 60.00 degrees
Atoms (fractional coordinates):
Sr 0.000 0.000 0.000
Tb 0.500 0.500 0.500
Hg 0.250 0.250 0.250
Pb 0.750 0.750 0.750

Calculated values
SG: No. 216
Uncorrected energy: -3.04 eV/atom
Total magnetization: 0.00 μB/cell
Energy of formation: -0.46 eV/atom
ρ: 8989 kg/m³



The following is a PBE calculation of a geometry-optimized SrThHgPb structure, from Alexandria via LeMat-Bulk.

Cell lengths 5.594, 5.594, 5.594 Å; angles 60.00, 60.00, 60.00 degrees
Atoms (fractional coordinates):
Sr 0.000 0.000 0.000
Th 0.500 0.500 0.500
Hg 0.250 0.250 0.250
Pb 0.750 0.750 0.750

Calculated values
SG: No. 216
Uncorrected energy: -3.54 eV/atom
Total magnetization: 0.00 μB/cell
Energy of formation: -0.27 eV/atom
ρ: 9761 kg/m³



The following is a PBE calculation of a geometry-optimized Sr2TlHg4Pb2 structure, from Alexandria via LeMat-Bulk.

Cell lengths 7.607, 7.607, 7.607 Å; angles 123.62, 123.62, 83.83 degrees
Atoms (fractional coordinates):
Sr 0.217 0.217 0.000
Sr 0.783 0.783 0.000
Tl 0.500 0.500 0.000
Hg 0.215 0.215 0.431
Hg 0.215 0.785 0.000
Hg 0.785 0.215 0.000
Hg 0.785 0.785 0.569
Pb 0.250 0.750 0.500
Pb 0.750 0.250 0.500

Calculated values
SG: No. 139
Uncorrected energy: -1.70 eV/atom
Total magnetization: 0.00 μB/cell
Energy of formation: -0.11 eV/atom
ρ: 9066 kg/m³



The following is a PBE calculation of a geometry-optimized SrTl2Hg2Pb2 structure, from Alexandria via LeMat-Bulk.

Cell lengths 8.640, 8.640, 8.640 Å; angles 36.97, 36.97, 36.97 degrees
Atoms (fractional coordinates):
Sr 0.000 0.000 0.000
Tl 0.147 0.147 0.147
Tl 0.853 0.853 0.853
Hg 0.281 0.281 0.281
Hg 0.719 0.719 0.719
Pb 0.427 0.427 0.427
Pb 0.573 0.573 0.573

Calculated values
SG: No. 166
Uncorrected energy: -2.26 eV/atom
Total magnetization: 0.00 μB/cell
Energy of formation: -0.20 eV/atom
ρ: 10424 kg/m³